First-principles (GGA-PBE) data for a relaxed structure of KZnMo, as listed in the Alexandria database.

a = 2.8836 Å, b = 2.8836 Å, c = 8.4045 Å
α = 90.00°, β = 90.00°, γ = 120.00°
Last column: nearest neighbours and their distance in Å.
Space group P3m1 (No. 156)
Asymmetric unit:
K 0.0000 0.0000 0.0000 x1  6 K 2.88
Zn 0.6667 0.3333 0.6387 x1  3 Mo 2.81, 6 Zn 2.88
Mo 0.3333 0.6667 0.3698 x1  3 Zn 2.81, 6 Mo 2.88

Values from the calculation:
Size of the total moment = 0.0 μB/f.u.
D(E_F) = 1.220 states/eV per atom
Formation energy from the elements = 888.7 meV/atom